No. 1
A plane-wave DFT calculation with PBE-GGA was carried out for an optimized crystal structure of UAgW.

Calculated values
uncorrected energy: -22.60 eV/cell
total magnetic moment: 0.009 μB/cell

POSCAR file:
```
UAgW
1.0
0.0000 3.2398 3.2398
3.2398 0.0000 3.2398
3.2398 3.2398 0.0000
U Ag W
1 1 1
Direct
0.0000 0.0000 0.0000 U
0.7500 0.7500 0.7500 Ag
0.2500 0.2500 0.2500 W
```


No. 2
A plane-wave DFT calculation with PBE-GGA was carried out for an optimized crystal structure of YUAg.

Calculated values
total magnetic moment: 3.976 μB/cell
ΔE to the lowest computed polymorph: 0 meV per atom

POSCAR file:
```
YUAg
1.0
0.0000 3.5121 3.5121
3.5121 0.0000 3.5121
3.5121 3.5121 0.0000
Y U Ag
1 1 1
Direct
0.0000 0.0000 0.0000 Y
0.5000 0.5000 0.5000 U
0.7500 0.7500 0.7500 Ag
```


No. 3
A plane-wave DFT calculation with PBE-GGA was carried out for an optimized crystal structure of ZrUAg.

Calculated values
uncorrected energy: -19.28 eV/cell
total magnetic moment: 3.187 μB/cell

POSCAR file:
```
ZrUAg
1.0
0.0000 3.3538 3.3538
3.3538 0.0000 3.3538
3.3538 3.3538 0.0000
Zr U Ag
1 1 1
Direct
0.0000 0.0000 0.0000 Zr
0.7500 0.7500 0.7500 U
0.5000 0.5000 0.5000 Ag
```


No. 4
A plane-wave DFT calculation with PBE-GGA was carried out for an optimized crystal structure of Ag2W.

Calculated values
total magnetic moment: 0.001 μB/cell
ΔE to the lowest computed polymorph: 0 meV per atom

POSCAR file:
```
Ag2W
1.0
2.7344 0.0000 0.0000
0.0000 4.6621 0.0000
-0.9164 0.0000 7.9654
Ag W
4 2
Direct
0.0572 0.2500 0.2345 Ag
0.4092 0.2500 0.8990 Ag
0.5908 0.7500 0.1010 Ag
0.9428 0.7500 0.7655 Ag
0.3068 0.7500 0.4342 W
0.6932 0.2500 0.5658 W
```